Below is an optimized crystal structure of TePt2Au, with properties calculated at the PBE level.

Properties
Size of the total moment: 0.00 μB per formula unit
Energy relative to the elements, uncorrected: 0.179 eV per atom
Electronic total energy: -71.146 eV/cell

Cell lengths 6.658, 6.658, 6.658 Å; angles 90.00, 90.00, 90.00 degrees
Space group F-43m (No. 216)
Symmetry-distinct sites (fractional):
Te: 0.000 0.000 0.000 x4
Pt: 0.000 0.000 0.500 x4
Pt: 0.250 0.250 0.250 x4
Au: 0.250 0.250 0.750 x4